8
Lattice="7.5243 0.0000 0.0000 -3.7608 6.5254 0.0000 -3.7166 -2.1539 6.6466" Properties=species:S:1:pos:R:3 comment="YCdI6 | the Alexandria database | PBE-GGA | relaxed" e_form_raw_ev_per_fu=-6.11 sg="No. 2" pbc="T T T"
Y 0.0000 0.0000 0.0000
Cd -3.7387 2.1857 3.3233
I -2.4091 0.0165 4.9753
I -1.2150 2.2382 1.6563
I 2.5435 -0.0428 1.6605
I -2.4966 4.4142 4.9861
I 1.2619 2.1333 4.9902
I 2.4560 4.3550 1.6712


6
Lattice="0.0000 3.4585 3.4585 3.4585 0.0000 3.4585 3.4585 3.4585 0.0000" Properties=species:S:1:pos:R:3 comment="DyAlCo4 | the Alexandria database | PBE-GGA | relaxed" ef_ev_per_fu=-1.4 relative_energy_mev_per_atom=29 sg="No. 216" pbc="T T T"
Dy 0.0000 0.0000 0.0000
Al 1.7292 1.7292 1.7292
Co 4.3149 2.6020 2.6020
Co 2.6020 4.3149 2.6020
Co 2.6020 2.6020 4.3149
Co 4.3149 4.3149 4.3149


14
Lattice="7.8885 -1.5443 0.0000 7.8885 1.5443 0.0000 -2.4177 0.0000 7.4996" Properties=species:S:1:pos:R:3 comment="TlRh5O8 | the Alexandria database | PBE-GGA | relaxed" e_form_raw_ev_per_fu=-8.23 sg="No. 5" pbc="T T T"
Tl 0.0000 0.0000 0.0000
Rh 4.2653 0.7033 1.2873
Rh 4.0605 0.7168 4.0521
Rh 9.2988 0.7168 3.4475
Rh 9.0940 0.7033 6.2123
Rh 6.6797 -0.8271 3.7498
O 2.1442 0.7087 4.8897
O 5.6763 0.7145 2.8348
O 7.6831 0.7145 4.6648
O 11.2151 0.7087 2.6099
O 5.0370 -0.8430 0.2016
O 4.9881 -0.8258 4.9907
O 8.3713 -0.8258 2.5090
O 8.3223 -0.8430 7.2980


5
Lattice="5.0215 0.0000 0.0000 0.0000 5.0215 0.0000 0.0000 0.0000 5.0215" Properties=species:S:1:pos:R:3 comment="CaMgCl3 | the Alexandria database | PBE-GGA | relaxed" e_form_raw_ev_per_fu=-7.23 relative_energy_mev_per_atom=70 sg="No. 221" pbc="T T T"
Ca 0.0000 0.0000 0.0000
Mg 2.5108 2.5108 2.5108
Cl 0.0000 2.5108 2.5108
Cl 2.5108 0.0000 2.5108
Cl 2.5108 2.5108 0.0000


no.,volume (Å³ per atom),spin magnetization (μB/f.u.)
1,40.8,0.00
2,13.8,4.29
3,13.1,0.00
4,25.3,0.33